1.
The following is a PBE calculation of an optimized crystal structure of GdGaNiAu, from the Alexandria database.

Cell lengths 4.7173, 4.7173, 4.7173 Å; angles 60.00, 60.00, 60.00 degrees
Site moments in Bohr magnetons follow the coordinates.
Element x y z (fractional)
Au  0.7500  0.7500  0.7500  0.00
Ga  0.5000  0.5000  0.5000  0.00
Ni  0.2500  0.2500  0.2500  0.03
Gd  0.0000  0.0000  0.0000  6.98

## Properties
The value obtained for the formation enthalpy at 0 K is -0.43 eV/atom. The value obtained for the calculated volume is 74.2 Å³/f.u. For the density of states at the Fermi level, the calculation gives 0.6336 states/eV/atom.



2.
The following is a PBE calculation of an optimized crystal structure of LaGa2SnOs, from the Alexandria database.

Cell lengths 5.6743, 4.8980, 5.6743 Å; angles 90.00, 90.00, 90.00 degrees
Element x y z (fractional)
Sn  0.5000  0.5000  0.5000
Ga  0.5000  0.0000  0.0000
Ga  0.0000  0.0000  0.5000
La  0.0000  0.0000  0.0000
Os  0.0000  0.5000  0.0000

## Properties
The value obtained for the formation enthalpy at 0 K is 1.26 eV/atom. The value obtained for the calculated volume is 157.7 Å³/f.u. For the density of states at the Fermi level, the calculation gives 1.2814 states/eV/atom. The energy above the lowest structure with this stoichiometry comes out at 1391 meV per atom.



3.
The following is a PBE calculation of an optimized crystal structure of Sm4HoHg, from the Alexandria database.

Cell lengths 6.4424, 9.1080, 8.3239 Å; angles 113.36, 100.03, 112.90 degrees
Element x y z (fractional)
Sm  0.2410  0.2882  0.3779
Sm  0.6369  0.0898  0.3779
Sm  0.7590  0.7118  0.6221
Sm  0.9572  0.8330  0.2330
Sm  0.3631  0.9102  0.6221
Sm  0.7758  0.4000  0.2330
Sm  0.0428  0.1670  0.7670
Sm  0.2242  0.6000  0.7670
Ho  0.3423  0.5923  0.1846
Ho  0.6577  0.4077  0.8154
Hg  0.7488  0.9988  0.9976
Hg  0.2512  0.0012  0.0024

## Properties
The value obtained for the formation enthalpy at 0 K is -0.05 eV/atom. The value obtained for the calculated volume is 190.3 Å³/f.u. For the density of states at the Fermi level, the calculation gives 1.3596 states/eV/atom. The energy above the lowest structure with this stoichiometry comes out at 96 meV per atom.



4.
The following is a PBE calculation of an optimized crystal structure of La6GeTe3Cl2, from the Alexandria database.

Cell lengths 7.6126, 7.6126, 7.7668 Å; angles 99.38, 99.38, 119.99 degrees
Element x y z (fractional)
La  0.9247  0.5978  0.7757
La  0.7477  0.7477  0.2253
La  0.2523  0.2523  0.7747
La  0.4022  0.0753  0.2243
La  0.0753  0.4022  0.2243
La  0.5978  0.9247  0.7757
Te  0.1676  0.8324  0.5000
Te  0.8324  0.1676  0.5000
Te  0.5000  0.5000  0.5000
Cl  0.3331  0.6669  0.0000
Cl  0.6669  0.3331  0.0000
Ge  0.0000  0.0000  0.0000

## Properties
The value obtained for the calculated volume is 368.5 Å³/f.u. For the density of states at the Fermi level, the calculation gives 0.5346 states/eV/atom. As for the formation energy from raw total energies: -1.51 eV/atom.



5.
The following is a PBE calculation of an optimized crystal structure of BaY2Mn, from the Alexandria database.

Cell lengths 6.1292, 6.1292, 6.1292 Å; angles 131.16, 131.16, 71.56 degrees
Site moments in Bohr magnetons follow the coordinates.
Element x y z (fractional)
Y  0.0000  0.0000  0.0000  -0.33
Y  0.2500  0.7500  0.5000  -0.31
Ba  0.5000  0.5000  0.0000  -0.09
Mn  0.7500  0.2500  0.5000  3.98

## Properties
The value obtained for the formation enthalpy at 0 K is 0.52 eV/atom. The value obtained for the calculated volume is 127.7 Å³/f.u. For the density of states at the Fermi level, the calculation gives 1.6752 states/eV/atom. The energy above the lowest structure with this stoichiometry comes out at 308 meV per atom.



6.
The following is a PBE calculation of an optimized crystal structure of LiZnSb, from the Alexandria database.

Cell lengths 4.3791, 7.9496, 7.3372 Å; angles 90.00, 90.00, 90.00 degrees
Element x y z (fractional)
Sb  0.7500  0.6079  0.2566
Sb  0.2500  0.1079  0.2434
Sb  0.2500  0.3921  0.7434
Sb  0.7500  0.8921  0.7566
Li  0.7500  0.1840  0.5302
Li  0.7500  0.3160  0.0302
Li  0.2500  0.8160  0.4698
Li  0.2500  0.6840  0.9698
Zn  0.2500  0.0696  0.8619
Zn  0.2500  0.4304  0.3619
Zn  0.7500  0.9304  0.1381
Zn  0.7500  0.5696  0.6381

## Properties
The value obtained for the calculated volume is 63.9 Å³/f.u. For the density of states at the Fermi level, the calculation gives 0.1052 states/eV/atom. As for the formation energy from raw total energies: -0.32 eV/atom.



7.
The following is a PBE calculation of an optimized crystal structure of CrPdW2N, from the Alexandria database.

Cell lengths 4.1046, 4.1046, 3.8948 Å; angles 90.00, 90.00, 90.00 degrees
Site moments in Bohr magnetons follow the coordinates.
Element x y z (fractional)
W  0.0000  0.5000  0.0000  -0.01
W  0.5000  0.0000  0.0000  -0.01
N  0.0000  0.0000  0.0000  0.00
Cr  0.0000  0.0000  0.5000  0.10
Pd  0.5000  0.5000  0.5000  0.00

## Properties
The value obtained for the calculated volume is 65.6 Å³/f.u. For the density of states at the Fermi level, the calculation gives 0.8732 states/eV/atom. As for the formation energy from raw total energies: -0.05 eV/atom.



8.
The following is a PBE calculation of an optimized crystal structure of LiLuMg2, from the Alexandria database.

Cell lengths 3.4262, 3.4262, 7.9397 Å; angles 90.00, 90.00, 90.00 degrees
Element x y z (fractional)
Lu  0.5000  0.5000  0.5000
Mg  0.0000  0.0000  0.2157
Mg  0.0000  0.0000  0.7843
Li  0.5000  0.5000  0.0000

## Properties
The value obtained for the formation enthalpy at 0 K is -0.04 eV/atom. The value obtained for the calculated volume is 93.2 Å³/f.u. For the density of states at the Fermi level, the calculation gives 0.6900 states/eV/atom. The energy above the lowest structure with this stoichiometry comes out at 0 meV per atom.